The following is a PBE with a Hubbard U calculation of a relaxed structure of NiAs3O, from Alexandria.

Geometry as CIF:
```
data_NiAs3O
_chemical_formula_sum 'Ni1 As3 O1'
_cell_length_a 4.331
_cell_length_b 4.331
_cell_length_c 4.331
_cell_angle_alpha 90.00
_cell_angle_beta 90.00
_cell_angle_gamma 90.00
_symmetry_space_group_name_H-M 'P 1'
_symmetry_Int_Tables_number 1
_symmetry_space_group_name_Hall 'P 1'
loop_
_atom_site_label
_atom_site_type_symbol
_atom_site_fract_x
_atom_site_fract_y
_atom_site_fract_z
Ni1 Ni 0.000 0.000 0.000
As1 As 0.000 0.500 0.500
As2 As 0.500 0.000 0.500
As3 As 0.500 0.500 0.000
O1 O 0.500 0.500 0.500
```

Output
Offset from the most stable computed form = 0.000 eV/atom
Final energy = -3.641 eV per atom